The following is a GGA-PBE calculation of an optimized crystal structure of Dy4Sn2Ru, from the Alexandria database.

Unit cell a=4.6943 b=8.7097 c=7.5033 alpha=136.89 beta=108.23 gamma=90.00
Fractional coordinates of all 7 atoms:
Dy1 0.9325 0.2233 0.8650
Dy2 0.0675 0.7767 0.1350
Dy3 0.6673 0.2827 0.3345
Dy4 0.3327 0.7173 0.6655
Sn1 0.6657 0.6540 0.3313
Sn2 0.3343 0.3460 0.6687
Ru1 0.0000 0.0000 0.0000

## Properties
- formation enthalpy at 0 K (eV/atom) = -0.5818
- magnetic moment (μB per formula unit) = 0.000
- E (eV per cell) = -39.8